Entry from Alexandria: a relaxed KW2Br crystal (GGA-PBE).

```
KW2Br
1.0
3.249 0.000 0.000
0.000 6.733 0.000
-0.147 0.000 4.906
K W Br
1 2 1
direct
0.000 0.000 0.000 K
0.262 0.500 0.178 W
0.738 0.500 0.822 W
0.500 0.000 0.500 Br
```

**Crystal system**: monoclinic
**Size of the total moment**: 0.0 μB per formula unit
**E above lowest polymorph**: 629.1 meV per atom
**Space group**: P2/m
**E_form (uncorrected)**: 1.03 eV/atom
**Calculated density**: 7.5 g/cm³